Material: CaCd
Method: DFT, PBE
State: optimized geometry

## Properties
The total DFT energy (no corrections) comes out at -1.56 eV/atom. The calculation puts the energy of formation at -103 meV/atom.

POSCAR file:
```
CaCd
1.0
-9.159 -4.144 -6.360
6.517 -9.403 -3.259
-1.228 -1.891 3.001
Ca Cd
8 8
Direct
0.345 0.134 0.000 Ca
0.655 0.866 0.000 Ca
0.866 0.345 0.000 Ca
0.134 0.655 0.000 Ca
0.845 0.634 0.500 Ca
0.155 0.366 0.500 Ca
0.366 0.845 0.500 Ca
0.634 0.155 0.500 Ca
0.158 0.932 0.000 Cd
0.842 0.068 0.000 Cd
0.068 0.158 0.000 Cd
0.932 0.842 0.000 Cd
0.658 0.432 0.500 Cd
0.342 0.568 0.500 Cd
0.568 0.658 0.500 Cd
0.432 0.342 0.500 Cd
```